Here is an optimized crystal structure of RbMoP2O from Alexandria. Energies are from PBE+U.

Calculated values
E = -2.66 eV per atom
Energy above the lowest structure with this stoichiometry = 2171 meV per atom
M_tot = 0.04 Bohr magnetons per cell

Structure (POSCAR):
```
RbMoP2O
1.0
5.166 0.000 0.000
0.000 5.166 0.000
0.000 0.000 4.190
P Mo O Rb
2 1 1 1
Direct
0.000 0.500 0.000
0.500 0.000 0.000
0.500 0.500 0.500
0.000 0.000 0.500
0.000 0.000 0.000
```